SmEu2Ga: optimized geometry, PBE.

a b c (Å): 3.644 3.644 12.576
angles (deg): 81.67 81.67 60.00
Last column: magnetic moment on the atom in μB.
Atoms (fractional coordinates):
Eu1 0.916 0.916 0.252  7.06
Eu2 0.084 0.084 0.748  7.06
Ga1 0.000 0.000 0.000  0.07
Sm1 0.500 0.500 0.500  0.06

## Properties
- Distance to the lowest polymorph of the same formula: 0.377 eV/atom

---

SmEu2Ga: optimized geometry, PBE.

a b c (Å): 5.136 4.806 4.806
angles (deg): 90.00 90.00 90.00
Last column: magnetic moment on the atom in μB.
Atoms (fractional coordinates):
Eu1 0.000 0.500 0.000  6.89
Eu2 0.000 0.000 0.500  6.89
Ga1 0.500 0.000 0.000  -0.06
Sm1 0.500 0.500 0.500  0.09

## Properties
- Distance to the lowest polymorph of the same formula: 0.019 eV/atom

---

SmEuGa4: optimized geometry, PBE.

a b c (Å): 5.620 5.620 5.620
angles (deg): 60.00 60.00 60.00
Last column: magnetic moment on the atom in μB.
Atoms (fractional coordinates):
Ga1 0.125 0.625 0.625  -0.01
Ga2 0.625 0.625 0.625  -0.01
Ga3 0.625 0.625 0.125  -0.01
Ga4 0.625 0.125 0.625  -0.01
Eu1 0.000 0.000 0.000  6.82
Sm1 0.250 0.250 0.250  0.04

## Properties
- Final energy: -5.05 eV per atom

---

Sm2EuGa: optimized geometry, PBE.

a b c (Å): 5.445 5.445 5.445
angles (deg): 60.00 60.00 60.00
Last column: magnetic moment on the atom in μB.
Atoms (fractional coordinates):
Eu1 0.000 0.000 0.000  6.93
Ga1 0.500 0.500 0.500  -0.04
Sm1 0.250 0.250 0.250  0.12
Sm2 0.750 0.750 0.750  0.12

## Properties
- Distance to the lowest polymorph of the same formula: 0.137 eV/atom

---

SmEu2Ga: optimized geometry, PBE.

a b c (Å): 3.719 3.719 9.177
angles (deg): 90.00 90.00 90.00
Last column: magnetic moment on the atom in μB.
Atoms (fractional coordinates):
Sm1 0.500 0.500 0.500  0.11
Ga1 0.500 0.500 0.000  -0.02
Eu1 0.000 0.000 0.800  6.83
Eu2 0.000 0.000 0.200  6.83

## Properties
- Distance to the lowest polymorph of the same formula: 0.000 eV/atom

---

Sm2EuGa: optimized geometry, PBE.

a b c (Å): 3.652 3.652 9.269
angles (deg): 90.00 90.00 90.00
Last column: magnetic moment on the atom in μB.
Atoms (fractional coordinates):
Ga1 0.500 0.500 0.000  0.00
Eu1 0.500 0.500 0.500  6.97
Sm1 0.000 0.000 0.806  0.07
Sm2 0.000 0.000 0.194  0.07

## Properties
- Distance to the lowest polymorph of the same formula: 0.000 eV/atom

---

SmEuGaSn: optimized geometry, PBE.

a b c (Å): 5.365 5.365 5.365
angles (deg): 60.00 60.00 60.00
Last column: magnetic moment on the atom in μB.
Atoms (fractional coordinates):
Sn1 0.750 0.750 0.750  -0.02
Ga1 0.250 0.250 0.250  0.00
Sm1 0.500 0.500 0.500  0.05
Eu1 0.000 0.000 0.000  6.80

## Properties
- Final energy: -6.05 eV per atom

---

SmEuZnGa: optimized geometry, PBE.

a b c (Å): 5.228 5.228 5.228
angles (deg): 60.00 60.00 60.00
Last column: magnetic moment on the atom in μB.
Atoms (fractional coordinates):
Zn1 0.750 0.750 0.750  -0.02
Ga1 0.250 0.250 0.250  0.02
Eu1 0.500 0.500 0.500  -6.84
Sm1 0.000 0.000 0.000  -0.10

## Properties
- Final energy: -5.22 eV per atom

---

EuGaSn: optimized geometry, PBE.

a b c (Å): 4.586 4.586 17.786
angles (deg): 90.00 90.00 120.00
Last column: magnetic moment on the atom in μB.
Atoms (fractional coordinates):
Ga1 0.333 0.667 0.837  0.00
Ga2 0.667 0.333 0.163  0.00
Ga3 0.333 0.667 0.663  0.00
Ga4 0.667 0.333 0.337  0.00
Eu1 0.000 0.000 0.750  6.81
Eu2 0.000 0.000 0.000  6.86
Eu3 0.000 0.000 0.500  6.86
Eu4 0.000 0.000 0.250  6.81
Sn1 0.333 0.667 0.385  -0.03
Sn2 0.333 0.667 0.115  -0.03
Sn3 0.667 0.333 0.885  -0.03
Sn4 0.667 0.333 0.615  -0.03

## Properties
- Final energy: -6.35 eV per atom

---

EuGa2Sn: optimized geometry, PBE.

a b c (Å): 4.629 4.629 6.043
angles (deg): 67.48 67.48 60.00
Last column: magnetic moment on the atom in μB.
Atoms (fractional coordinates):
Ga1 0.233 0.233 0.301  0.01
Ga2 0.767 0.767 0.699  0.01
Sn1 0.500 0.500 0.500  -0.03
Eu1 0.000 0.000 0.000  6.85

## Properties
- Distance to the lowest polymorph of the same formula: 0.078 eV/atom

---

EuGaSn: optimized geometry, PBE.

a b c (Å): 4.912 4.912 4.912
angles (deg): 60.00 60.00 60.00
Last column: magnetic moment on the atom in μB.
Atoms (fractional coordinates):
Eu1 0.500 0.500 0.500  -6.82
Ga1 0.250 0.250 0.250  -0.01
Sn1 0.000 0.000 0.000  0.02

## Properties
- Final energy: -6.18 eV per atom

---

EuGaSn: optimized geometry, PBE.

a b c (Å): 4.625 4.520 4.520
angles (deg): 120.00 90.00 90.00
Last column: magnetic moment on the atom in μB.
Atoms (fractional coordinates):
Eu1 0.688 0.667 0.333  6.82
Sn1 0.240 0.333 0.667  -0.02
Ga1 0.071 0.000 0.000  -0.01

## Properties
- Final energy: -6.31 eV per atom